# 1
An optimized crystal structure of ScCoRh2, computed with PBE.

a = 4.666 Å, b = 4.666 Å, c = 4.727 Å
α = 102.21°, β = 102.21°, γ = 35.92°
Element x y z (fractional)
Sc: 0.000 0.000 0.000
Co: 0.500 0.500 0.500
Rh: 0.243 0.243 0.731
Rh: 0.757 0.757 0.269


# 2
An optimized crystal structure of Ce3Bi2, computed with PBE.

a = 9.314 Å, b = 9.314 Å, c = 9.314 Å
α = 141.20°, β = 141.20°, γ = 56.03°
Element x y z (fractional)
Ce: 0.000 0.000 0.000
Ce: 0.000 0.000 0.500
Ce: 0.000 0.500 0.000
Ce: 0.375 0.625 0.750
Ce: 0.500 0.000 0.500
Ce: 0.625 0.375 0.250
Bi: 0.178 0.428 0.750
Bi: 0.428 0.178 0.250
Bi: 0.572 0.822 0.750
Bi: 0.822 0.572 0.250

The distance to the lowest polymorph of the same formula comes out at 0.04 eV/f.u.


# 3
An optimized crystal structure of Li4PuPt2, computed with PBE.

a = 9.084 Å, b = 9.084 Å, c = 2.917 Å
α = 90.00°, β = 90.00°, γ = 90.00°
Element x y z (fractional)
Li: 0.064 0.316 0.000
Li: 0.184 0.564 0.500
Li: 0.316 0.064 0.000
Li: 0.436 0.816 0.500
Li: 0.564 0.184 0.500
Li: 0.684 0.936 0.000
Li: 0.816 0.436 0.500
Li: 0.936 0.684 0.000
Pu: 0.000 0.000 0.500
Pu: 0.500 0.500 0.000
Pt: 0.201 0.799 0.000
Pt: 0.299 0.299 0.500
Pt: 0.701 0.701 0.500
Pt: 0.799 0.201 0.000


Number 1: calculated total energy -29.35 eV/f.u., calculated volume 14.7 A^3/atom. Number 2: calculated total energy -28.26 eV/f.u., calculated volume 31.5 A^3/atom. Number 3: calculated total energy -36.73 eV/f.u., calculated volume 17.2 A^3/atom.